# AgH4NCl3 (PBE-GGA, relaxed)
data_AgH4NCl3
_space_group_name_H-M_alt 'P 1'
_space_group_IT_number 1
_cell_length_a 4.490
_cell_length_b 6.946
_cell_length_c 9.848
_cell_angle_alpha 90.42
_cell_angle_beta 92.85
_cell_angle_gamma 92.21
loop_
_space_group_symop_operation_xyz
'x,y,z'
loop_
_atom_site_label
_atom_site_fract_x
_atom_site_fract_y
_atom_site_fract_z
_atom_site_occupancy
Ag1 0.000 0.000 0.000 1
Ag2 0.012 0.001 0.502 1
H1 0.035 0.390 0.710 1
H2 0.184 0.549 0.832 1
H3 0.292 0.558 0.669 1
H4 0.389 0.372 0.773 1
H5 0.634 0.587 0.249 1
H6 0.821 0.379 0.252 1
H7 0.952 0.574 0.167 1
H8 0.964 0.578 0.338 1
N1 0.225 0.467 0.746 1
N2 0.840 0.529 0.252 1
Cl1 0.037 0.949 0.752 1
Cl2 0.281 0.715 0.035 1
Cl3 0.318 0.726 0.474 1
Cl4 0.700 0.273 0.964 1
Cl5 0.708 0.273 0.533 1
Cl6 0.965 0.055 0.251 1
# Mass density ... 2.52 g/cm³
# Excess energy over the best structure of this formula in the dataset ... 6 meV/atom

# NaAg2HCl6 (PBE-GGA, relaxed)
data_NaAg2HCl6
_space_group_name_H-M_alt 'C 1 2/c 1'
_space_group_IT_number 15
_cell_length_a 14.329
_cell_length_b 10.822
_cell_length_c 8.579
_cell_angle_alpha 90.00
_cell_angle_beta 125.85
_cell_angle_gamma 90.00
loop_
_space_group_symop_operation_xyz
'x,y,z'
'-x,-y,-z'
'-x,y,-z+1/2'
'x,-y,z+1/2'
'x+1/2,y+1/2,z'
'-x+1/2,-y+1/2,-z'
'-x+1/2,y+1/2,-z+1/2'
'x+1/2,-y+1/2,z+1/2'
loop_
_atom_site_label
_atom_site_fract_x
_atom_site_fract_y
_atom_site_fract_z
_atom_site_occupancy
Na1 0.000 0.160 0.250 1
Ag1 0.180 0.482 0.163 1
H1 0.000 0.329 0.750 1
Cl1 0.002 0.333 0.933 1
Cl2 0.109 0.005 0.111 1
Cl3 0.180 0.389 0.427 1
# Mass density ... 2.79 g/cm³
# E ... -110.2 eV per cell

# NaAg2HCl4 (PBE-GGA, relaxed)
data_NaAg2HCl4
_space_group_name_H-M_alt 'F m m 2'
_space_group_IT_number 42
_space_group_name_Hall 'F 2 -2'
_cell_length_a 7.455
_cell_length_b 11.913
_cell_length_c 8.082
_cell_angle_alpha 90.00
_cell_angle_beta 90.00
_cell_angle_gamma 90.00
loop_
_atom_site_label
_atom_site_fract_x
_atom_site_fract_y
_atom_site_fract_z
_atom_site_occupancy
Na1 0.000 0.000 0.000 1
Ag1 0.250 0.250 0.238 1
H1 0.000 0.000 0.680 1
Cl1 0.000 0.234 0.987 1
Cl2 0.208 0.000 0.708 1
# Mass density ... 3.53 g/cm³
# E ... -95.2 eV per cell

# NpAgH2Cl8 (PBE-GGA, relaxed)
data_NpAgH2Cl8
_space_group_name_H-M_alt 'P -1'
_space_group_IT_number 2
_cell_length_a 6.775
_cell_length_b 7.122
_cell_length_c 7.542
_cell_angle_alpha 89.04
_cell_angle_beta 89.70
_cell_angle_gamma 88.98
loop_
_space_group_symop_operation_xyz
'x,y,z'
'-x,-y,-z'
loop_
_atom_site_label
_atom_site_fract_x
_atom_site_fract_y
_atom_site_fract_z
_atom_site_occupancy
Np1 0.000 0.000 0.000 1
Ag1 0.000 0.000 0.500 1
H1 0.260 0.323 0.680 1
Cl1 0.211 0.835 0.767 1
Cl2 0.221 0.849 0.237 1
Cl3 0.224 0.279 0.981 1
Cl4 0.262 0.322 0.507 1
# Mass density ... 2.88 g/cm³
# E ... -49.1 eV per cell

# Ag2HClO (PBE-GGA, relaxed)
data_Ag2HClO
_space_group_name_H-M_alt 'I 4 c m'
_space_group_IT_number 108
_space_group_name_Hall 'I 4 -2c'
_cell_length_a 6.564
_cell_length_b 6.564
_cell_length_c 7.677
_cell_angle_alpha 90.00
_cell_angle_beta 90.00
_cell_angle_gamma 90.00
loop_
_atom_site_label
_atom_site_fract_x
_atom_site_fract_y
_atom_site_fract_z
_atom_site_occupancy
Ag1 0.248 0.252 0.000 1
H1 0.000 0.000 0.186 1
Cl1 0.000 0.500 0.285 1
O1 0.000 0.000 0.058 1
# Mass density ... 5.38 g/cm³
# E ... -72.1 eV per cell

# AgH2ClO (PBE-GGA, relaxed)
data_AgH2ClO
_space_group_name_H-M_alt 'C m c m'
_space_group_IT_number 63
_space_group_name_Hall '-C 2c 2'
_cell_length_a 3.640
_cell_length_b 9.292
_cell_length_c 8.403
_cell_angle_alpha 90.00
_cell_angle_beta 90.00
_cell_angle_gamma 90.00
loop_
_atom_site_label
_atom_site_fract_x
_atom_site_fract_y
_atom_site_fract_z
_atom_site_occupancy
Ag1 0.000 0.088 0.250 1
H1 0.000 0.412 0.059 1
Cl1 0.000 0.199 0.750 1
O1 0.000 0.500 0.000 1
# Mass density ... 3.77 g/cm³
# E ... -74.7 eV per cell

# Ag3H4Cl3O2 (PBE-GGA, relaxed)
data_Ag3H4Cl3O2
_space_group_name_H-M_alt 'I m m 2'
_space_group_IT_number 44
_cell_length_a 5.273
_cell_length_b 17.854
_cell_length_c 4.787
_cell_angle_alpha 90.00
_cell_angle_beta 90.00
_cell_angle_gamma 90.00
loop_
_space_group_symop_operation_xyz
'x,y,z'
'-x,-y,z'
'-x,y,z'
'x,-y,z'
'x+1/2,y+1/2,z+1/2'
'-x+1/2,-y+1/2,z+1/2'
'-x+1/2,y+1/2,z+1/2'
'x+1/2,-y+1/2,z+1/2'
loop_
_atom_site_label
_atom_site_fract_x
_atom_site_fract_y
_atom_site_fract_z
_atom_site_occupancy
Ag1 0.000 0.000 0.000 1
Ag2 0.000 0.351 0.580 1
H1 0.000 0.137 0.396 1
H2 0.000 0.185 0.126 1
Cl1 0.000 0.302 0.083 1
Cl2 0.000 0.500 0.448 1
O1 0.000 0.132 0.193 1
# Mass density ... 3.43 g/cm³
# E ... -90.1 eV per cell

# AgPHCl2 (PBE-GGA, relaxed)
data_AgPHCl2
_space_group_name_H-M_alt 'P 4/m m m'
_space_group_IT_number 123
_space_group_name_Hall '-P 4 2'
_cell_length_a 5.141
_cell_length_b 5.141
_cell_length_c 4.871
_cell_angle_alpha 90.00
_cell_angle_beta 90.00
_cell_angle_gamma 90.00
loop_
_atom_site_label
_atom_site_fract_x
_atom_site_fract_y
_atom_site_fract_z
_atom_site_occupancy
Ag1 0.000 0.000 0.000 1
P1 0.000 0.000 0.500 1
H1 0.500 0.500 0.500 1
Cl1 0.000 0.500 0.000 1
# Mass density ... 2.72 g/cm³
# Excess energy over the best structure of this formula in the dataset ... 481 meV/atom

# Ag2PHCl (PBE-GGA, relaxed)
data_Ag2PHCl
_space_group_name_H-M_alt 'P 4/m m m'
_space_group_IT_number 123
_space_group_name_Hall '-P 4 2'
_cell_length_a 5.281
_cell_length_b 5.281
_cell_length_c 3.035
_cell_angle_alpha 90.00
_cell_angle_beta 90.00
_cell_angle_gamma 90.00
loop_
_atom_site_label
_atom_site_fract_x
_atom_site_fract_y
_atom_site_fract_z
_atom_site_occupancy
Ag1 0.000 0.500 0.000 1
P1 0.000 0.000 0.500 1
H1 0.500 0.500 0.500 1
Cl1 0.500 0.500 0.000 1
# Mass density ... 5.56 g/cm³
# E ... -13.9 eV per cell

# AgPHCl2 (PBE-GGA, relaxed)
data_AgPHCl2
_space_group_name_H-M_alt 'P 4/m m m'
_space_group_IT_number 123
_space_group_name_Hall '-P 4 2'
_cell_length_a 5.058
_cell_length_b 5.058
_cell_length_c 3.271
_cell_angle_alpha 90.00
_cell_angle_beta 90.00
_cell_angle_gamma 90.00
loop_
_atom_site_label
_atom_site_fract_x
_atom_site_fract_y
_atom_site_fract_z
_atom_site_occupancy
Ag1 0.000 0.000 0.000 1
P1 0.500 0.500 0.000 1
H1 0.500 0.500 0.500 1
Cl1 0.000 0.500 0.500 1
# Mass density ... 4.18 g/cm³
# Excess energy over the best structure of this formula in the dataset ... 0 meV/atom

# AgH2PbCl8 (PBE-GGA, relaxed)
data_AgH2PbCl8
_space_group_name_H-M_alt 'P -1'
_space_group_IT_number 2
_cell_length_a 6.798
_cell_length_b 7.349
_cell_length_c 7.498
_cell_angle_alpha 87.07
_cell_angle_beta 88.24
_cell_angle_gamma 86.07
loop_
_space_group_symop_operation_xyz
'x,y,z'
'-x,-y,-z'
loop_
_atom_site_label
_atom_site_fract_x
_atom_site_fract_y
_atom_site_fract_z
_atom_site_occupancy
Ag1 0.000 0.000 0.000 1
H1 0.257 0.315 0.177 1
Pb1 0.000 0.000 0.500 1
Cl1 0.206 0.843 0.240 1
Cl2 0.213 0.852 0.764 1
Cl3 0.217 0.263 0.476 1
Cl4 0.271 0.327 0.002 1
# Mass density ... 2.67 g/cm³
# E ... -34.1 eV per cell

# Rb2AgH2Cl6 (PBE-GGA, relaxed)
data_Rb2AgH2Cl6
_space_group_name_H-M_alt 'R -3 m'
_space_group_IT_number 166
_space_group_name_Hall '-R 3 2"'
_cell_length_a 6.7766
_cell_length_b 6.7766
_cell_length_c 20.1121
_cell_angle_alpha 90.00
_cell_angle_beta 90.00
_cell_angle_gamma 120.00
loop_
_atom_site_label
_atom_site_fract_x
_atom_site_fract_y
_atom_site_fract_z
_atom_site_occupancy
Rb1 0.0000 0.0000 0.2319 1
Ag1 0.0000 0.0000 0.0000 1
H1 0.0000 0.0000 0.4093 1
Cl1 0.0236 0.5118 0.2540 1
# Mass density ... 3.07 g/cm³
# E ... -94.8 eV per cell